A relaxed structure of HfZnB3, computed with PBE-GGA.

Values from the calculation:
Total energy, eV/atom: -4.98
Symmetry: No. 221
Energy relative to the lowest polymorph listed for this composition, eV per atom: 0.000
Formation energy from the elements, meV per atom: 1277

abc: 3.936 3.936 3.936
angles: 90.00 90.00 90.00
Positions (direct):
B: 0.000 0.000 0.500
B: 0.000 0.500 0.000
B: 0.500 0.000 0.000
Zn: 0.000 0.000 0.000
Hf: 0.500 0.500 0.500